4
Lattice="-0.078 5.615 2.621 -4.126 1.028 4.508 4.884 -3.258 -1.983" Properties=species:S:1:pos:R:3 comment="Al2TlPb | the Alexandria database | PBE | optimized geometry" vol_a3_per_fu=99 density_g_cm3=7.83 polymorph_energy_mev_per_atom=91 space_group="Imm2 (44)" pbc="T T T"
Al 1.254 2.994 2.268
Al -4.104 6.485 6.959
Tl -0.594 0.423 2.913
Pb -2.181 3.446 3.698

4
Lattice="0.000 3.684 3.684 3.684 0.000 3.684 3.684 3.684 0.000" Properties=species:S:1:pos:R:3 comment="Al2TlPb | the Alexandria database | PBE | optimized geometry" vol_a3_per_fu=100 density_g_cm3=7.73 polymorph_energy_mev_per_atom=140 space_group="Fm-3m (225)" pbc="T T T"
Tl 0.000 0.000 0.000
Al 5.525 5.525 5.525
Al 1.842 1.842 1.842
Pb 3.684 3.684 3.684

6
Lattice="4.816 -3.123 2.860 -0.797 -2.426 5.883 -0.341 -6.350 0.831" Properties=species:S:1:pos:R:3 comment="AlTl4Pb | the Alexandria database | PBE | optimized geometry" vol_a3_per_fu=187 density_g_cm3=9.36 space_group="F-43m (216)" pbc="T T T"
Al 2.759 -8.924 7.181
Tl 3.786 -6.024 5.020
Tl 1.210 -7.636 4.006
Tl 1.380 -4.463 3.591
Tl 0.982 -5.675 6.531
Pb 0.000 0.000 0.000

4
Lattice="6.072 -0.131 0.134 -2.554 5.510 0.134 0.690 1.055 3.081" Properties=species:S:1:pos:R:3 comment="Al2TlPb | the Alexandria database | PBE | optimized geometry" vol_a3_per_fu=100 density_g_cm3=7.71 polymorph_energy_mev_per_atom=172 space_group="C2/m (12)" pbc="T T T"
Tl -0.932 3.283 1.608
Al 0.000 0.000 0.000
Al 1.759 2.690 0.134
Pb 3.381 0.462 1.608

Number 1: calculated formation energy 243 meV/atom. Number 2: calculated formation energy 292 meV/atom. Number 3: calculated formation energy 275 meV/atom. Number 4: calculated formation energy 324 meV/atom.